w:
Density functional theory data (PBE) for crystalline La5Dy2Ho2 at its relaxed geometry.

The value obtained for the density of states at the Fermi level is 1.696 states/eV/atom.

Lattice parameters (Å, degrees): 6.295 6.305 9.667 71.21 71.46 60.19
Fractional coordinates of all 9 atoms:
1 La 0.000 0.000 0.000
2 La 0.110 0.443 0.669
3 La 0.445 0.779 0.668
4 La 0.555 0.221 0.332
5 La 0.890 0.557 0.331
6 Dy 0.334 0.330 0.000
7 Dy 0.666 0.670 0.000
8 Ho 0.223 0.890 0.332
9 Ho 0.777 0.110 0.668

x:
Density functional theory data (PBE) for crystalline La5Dy2Ho2 at its relaxed geometry.

The value obtained for the density of states at the Fermi level is 1.336 states/eV/atom.

Lattice parameters (Å, degrees): 10.140 10.140 10.140 84.75 109.08 139.88
Fractional coordinates of all 18 atoms:
1 La 0.227 0.050 0.277
2 La 0.227 0.450 0.676
3 La 0.383 0.013 0.081
4 La 0.383 0.802 0.870
5 La 0.416 0.423 0.494
6 La 0.773 0.550 0.324
7 La 0.773 0.950 0.723
8 La 0.929 0.923 0.506
9 La 0.932 0.302 0.919
10 La 0.932 0.513 0.130
11 Dy 0.356 0.356 0.000
12 Dy 0.356 0.856 0.500
13 Dy 0.380 0.635 0.245
14 Dy 0.390 0.135 0.755
15 Ho 0.810 0.187 0.363
16 Ho 0.810 0.946 0.122
17 Ho 0.824 0.446 0.637
18 Ho 0.824 0.687 0.878

Calculated relative energies: w 0; x 178, given in meV/atom